1.
Below is a relaxed Tm12Sn6Rh crystal, with properties calculated at the GGA-PBE level.

Properties
ΔE_f	-39.8	kJ/mol of atoms
M_tot	0.00	μB/cell
DOS(E_F)	15.61	states/eV/cell

abc: 8.5019 8.5019 8.5019
angles: 99.69 99.69 99.69
Element x y z (fractional)
Tm1 0.8031 0.5774 0.4455
Tm2 0.4455 0.8031 0.5774
Tm3 0.5774 0.4455 0.8031
Tm4 0.1969 0.4226 0.5545
Tm5 0.5545 0.1969 0.4226
Tm6 0.4226 0.5545 0.1969
Tm7 0.0567 0.9844 0.3140
Tm8 0.0156 0.6860 0.9433
Tm9 0.6860 0.9433 0.0156
Tm10 0.9433 0.0156 0.6860
Tm11 0.9844 0.3140 0.0567
Tm12 0.3140 0.0567 0.9844
Sn1 0.6881 0.8781 0.3588
Sn2 0.6412 0.3119 0.1219
Sn3 0.1219 0.6412 0.3119
Sn4 0.3119 0.1219 0.6412
Sn5 0.3588 0.6881 0.8781
Sn6 0.8781 0.3588 0.6881
Rh1 0.0000 0.0000 0.0000

***

2.
Below is a relaxed Tm12SnRh6 crystal, with properties calculated at the GGA-PBE level.

Properties
ΔE_f	-65.0	kJ/mol of atoms
M_tot	0.00	μB/cell
DOS(E_F)	13.85	states/eV/cell

abc: 8.4369 8.4369 8.4369
angles: 109.47 109.47 109.47
Element x y z (fractional)
Tm1 0.2988 0.1083 0.8095
Tm2 0.2988 0.4894 0.1905
Tm3 0.7012 0.5107 0.8095
Tm4 0.7012 0.8917 0.1905
Tm5 0.1083 0.8095 0.2988
Tm6 0.4894 0.1905 0.2988
Tm7 0.5107 0.8095 0.7012
Tm8 0.8917 0.1905 0.7012
Tm9 0.8095 0.2988 0.1083
Tm10 0.1905 0.2988 0.4894
Tm11 0.8095 0.7012 0.5107
Tm12 0.1905 0.7012 0.8917
Sn1 0.0000 0.0000 0.0000
Rh1 0.3691 0.5000 0.8691
Rh2 0.6309 0.5000 0.1309
Rh3 0.5000 0.8691 0.3691
Rh4 0.5000 0.1309 0.6309
Rh5 0.8691 0.3691 0.5000
Rh6 0.1309 0.6309 0.5000

***

3.
Below is a relaxed Tm4Sn2Rh crystal, with properties calculated at the GGA-PBE level.

Properties
ΔE_f	-66.0	kJ/mol of atoms
M_tot	0.00	μB/cell
DOS(E_F)	4.70	states/eV/cell

abc: 4.6073 8.6168 7.4682
angles: 136.78 107.97 90.00
Element x y z (fractional)
Tm1 0.9320 0.2225 0.8640
Tm2 0.0680 0.7775 0.1360
Tm3 0.6676 0.2813 0.3352
Tm4 0.3324 0.7187 0.6648
Sn1 0.6617 0.6518 0.3233
Sn2 0.3383 0.3482 0.6767
Rh1 0.0000 0.0000 0.0000

***

4.
Below is a relaxed TmSn2Rh2 crystal, with properties calculated at the GGA-PBE level.

Properties
ΔE_f	-64.2	kJ/mol of atoms
M_tot	0.00	μB/cell
DOS(E_F)	4.28	states/eV/cell

abc: 4.6279 5.2042 8.9160
angles: 105.49 90.00 90.00
Element x y z (fractional)
Tm1 0.2500 0.8184 0.2279
Tm2 0.7500 0.1816 0.7721
Sn1 0.2500 0.7645 0.8711
Sn2 0.7500 0.2355 0.1289
Sn3 0.2500 0.3473 0.5392
Sn4 0.7500 0.6527 0.4608
Rh1 0.2500 0.8810 0.5942
Rh2 0.7500 0.1190 0.4058
Rh3 0.2500 0.3112 0.9727
Rh4 0.7500 0.6888 0.0273

***

5.
Below is a relaxed TmSnRh2 crystal, with properties calculated at the GGA-PBE level.

Properties
ΔE_f	-70.3	kJ/mol of atoms
M_tot	0.00	μB/cell
DOS(E_F)	2.33	states/eV/cell

abc: 3.4026 3.4026 6.2898
angles: 90.00 90.00 90.00
Element x y z (fractional)
Tm1 0.5000 0.5000 0.0000
Rh1 0.0000 0.0000 0.7354
Rh2 0.0000 0.0000 0.2646
Sn1 0.5000 0.5000 0.5000

***

6.
Below is a relaxed TmSnRh4 crystal, with properties calculated at the GGA-PBE level.

Properties
ΔE_f	-39.2	kJ/mol of atoms
M_tot	0.00	μB/cell
DOS(E_F)	8.62	states/eV/cell

abc: 3.7402 5.0797 6.5934
angles: 106.37 73.52 68.40
Element x y z (fractional)
Tm1 0.5000 0.5000 0.5000
Sn1 0.0000 0.0000 0.0000
Rh1 0.8164 0.5226 0.8445
Rh2 0.3501 0.9831 0.3166
Rh3 0.1836 0.4774 0.1555
Rh4 0.6499 0.0169 0.6834

***

7.
Below is a relaxed Tm11Sn9Rh4 crystal, with properties calculated at the GGA-PBE level.

Properties
ΔE_f	-74.3	kJ/mol of atoms
M_tot	0.00	μB/cell
DOS(E_F)	12.47	states/eV/cell

abc: 3.7893 12.7413 12.7413
angles: 113.00 90.00 90.00
Element x y z (fractional)
Tm1 0.0000 0.5856 0.9237
Tm2 0.0000 0.4144 0.0763
Tm3 0.0000 0.9237 0.5856
Tm4 0.0000 0.0763 0.4144
Tm5 0.0000 0.6262 0.3738
Tm6 0.0000 0.3738 0.6262
Tm7 0.0000 0.8383 0.1617
Tm8 0.0000 0.1617 0.8383
Tm9 0.0000 0.0000 0.0000
Tm10 0.0000 0.6906 0.6906
Tm11 0.0000 0.3094 0.3094
Sn1 0.5000 0.6275 0.1537
Sn2 0.5000 0.3725 0.8463
Sn3 0.5000 0.1537 0.6275
Sn4 0.5000 0.8463 0.3725
Sn5 0.5000 0.7824 0.9302
Sn6 0.5000 0.2176 0.0698
Sn7 0.5000 0.9302 0.7824
Sn8 0.5000 0.0698 0.2176
Sn9 0.5000 0.5000 0.5000
Rh1 0.5000 0.5527 0.7570
Rh2 0.5000 0.4473 0.2430
Rh3 0.5000 0.7570 0.5527
Rh4 0.5000 0.2430 0.4473

***

8.
Below is a relaxed Tm2Sn5Rh3 crystal, with properties calculated at the GGA-PBE level.

Properties
ΔE_f	-66.7	kJ/mol of atoms
M_tot	0.00	μB/cell
DOS(E_F)	8.65	states/eV/cell

abc: 4.3931 7.2462 13.4333
angles: 90.00 99.41 90.00
Element x y z (fractional)
Tm1 0.4755 0.7574 0.9510
Tm2 0.1712 0.7244 0.3424
Tm3 0.8288 0.2244 0.6576
Tm4 0.5245 0.2574 0.0490
Sn1 0.4035 0.3806 0.8070
Sn2 0.2911 0.5041 0.5823
Sn3 0.7089 0.0041 0.4177
Sn4 0.1200 0.2591 0.2399
Sn5 0.2947 0.9363 0.5895
Sn6 0.9527 0.0954 0.9053
Sn7 0.7053 0.4363 0.4105
Sn8 0.8800 0.7591 0.7601
Sn9 0.0473 0.5954 0.0947
Sn10 0.5965 0.8806 0.1930
Rh1 0.7770 0.7193 0.5540
Rh2 0.6064 0.5083 0.2127
Rh3 0.0493 0.9798 0.0986
Rh4 0.2230 0.2193 0.4460
Rh5 0.9507 0.4798 0.9014
Rh6 0.3936 0.0083 0.7873